(1)
The following is a DFT calculation (GGA+U) of a relaxed structure of LiIn2WO6.

Structure (CIF):
```
data_LiIn2WO6
_chemical_formula_sum 'Li1 In2 W1 O6'
_space_group_name_H-M_alt 'P 1'
_space_group_IT_number 1
_cell_length_a 5.363
_cell_length_b 5.476
_cell_length_c 5.769
_cell_angle_alpha 62.39
_cell_angle_beta 89.73
_cell_angle_gamma 61.02
loop_
_space_group_symop_operation_xyz
'x,y,z'
loop_
_atom_site_label
_atom_site_type_symbol
_atom_site_fract_x
_atom_site_fract_y
_atom_site_fract_z
Li1 Li 0.000 0.000 0.000
In1 In 0.277 0.469 0.805
In2 In 0.770 0.478 0.313
W1 W 0.478 0.061 0.422
O1 O 0.108 0.534 0.147
O2 O 0.226 0.953 0.624
O3 O 0.383 0.962 0.143
O4 O 0.589 0.231 0.629
O5 O 0.675 0.244 0.147
O6 O 0.855 0.614 0.603
```

## Properties
- Total magnetic moment: 1.000 μB per cell
- Uncorrected energy: -0.456 Ry per atom

(2)
The following is a DFT calculation (GGA+U) of a relaxed structure of Li2InWO6.

Structure (CIF):
```
data_Li2InWO6
_chemical_formula_sum 'Li6 In3 W3 O18'
_space_group_name_H-M_alt 'R 3'
_space_group_IT_number 146
_space_group_name_Hall 'R 3'
_cell_length_a 5.2576
_cell_length_b 5.2576
_cell_length_c 14.2516
_cell_angle_alpha 90.00
_cell_angle_beta 90.00
_cell_angle_gamma 120.00
loop_
_atom_site_label
_atom_site_type_symbol
_atom_site_fract_x
_atom_site_fract_y
_atom_site_fract_z
Li1 Li 0.0000 0.0000 0.0000
Li2 Li 0.0000 0.0000 0.4996
In1 In 0.0000 0.0000 0.7144
W1 W 0.0000 0.0000 0.2153
O1 O 0.0097 0.3675 0.9488
O2 O 0.0480 0.6755 0.7902
```

## Properties
- DOS(E_F): 0.59 states/eV per atom
- Total magnetic moment: 3.124 μB per cell
- Uncorrected energy: -0.449 Ry per atom